Entry 1:
# Ca2NdDy | Alexandria | GGA-PBE | relaxed
data_Ca2NdDy
_chemical_formula_sum 'Ca8 Nd4 Dy4'
_cell_length_a 8.346
_cell_length_b 8.346
_cell_length_c 8.346
_cell_angle_alpha 90.00
_cell_angle_beta 90.00
_cell_angle_gamma 90.00
_space_group_name_H-M_alt 'F m -3 m'
_space_group_IT_number 225
_space_group_name_Hall '-F 4 2 3'
loop_
_atom_site_label
_atom_site_fract_x
_atom_site_fract_y
_atom_site_fract_z
Ca1 0.250 0.250 0.250
Nd1 0.000 0.000 0.000
Dy1 0.000 0.000 0.500
# Total magnetic moment, μB per formula unit: 0.00
# Energy relative to the lowest polymorph listed for this composition, kcal/mol of atoms: 2.41
# Raw total energy, eV/atom: -3.19

---

Entry 2:
# Ca2NdDy | Alexandria | GGA-PBE | relaxed
data_Ca2NdDy
_chemical_formula_sum 'Ca6 Nd3 Dy3'
_cell_length_a 3.7278
_cell_length_b 3.7278
_cell_length_c 36.9663
_cell_angle_alpha 90.00
_cell_angle_beta 90.00
_cell_angle_gamma 120.00
_space_group_name_H-M_alt 'R 3 m'
_space_group_IT_number 160
_space_group_name_Hall 'R 3 -2"'
loop_
_atom_site_label
_atom_site_fract_x
_atom_site_fract_y
_atom_site_fract_z
Ca1 0.0000 0.0000 0.0000
Ca2 0.0000 0.0000 0.4221
Nd1 0.0000 0.0000 0.8421
Dy1 0.0000 0.0000 0.5837
# Total magnetic moment, μB per formula unit: 0.00
# Energy relative to the lowest polymorph listed for this composition, kcal/mol of atoms: 0.00
# Raw total energy, eV/atom: -3.30

---

Entry 3:
# Ca2Nd5Dy6 | Alexandria | GGA-PBE | relaxed
data_Ca2Nd5Dy6
_chemical_formula_sum 'Ca4 Nd10 Dy12'
_cell_length_a 12.138
_cell_length_b 20.639
_cell_length_c 3.584
_cell_angle_alpha 90.00
_cell_angle_beta 90.00
_cell_angle_gamma 90.00
_space_group_name_H-M_alt 'P b a m'
_space_group_IT_number 55
_space_group_name_Hall '-P 2 2ab'
loop_
_atom_site_label
_atom_site_fract_x
_atom_site_fract_y
_atom_site_fract_z
Ca1 0.156 0.217 0.000
Nd1 0.000 0.500 0.500
Nd2 0.106 0.784 0.500
Nd3 0.205 0.051 0.500
Dy1 0.057 0.925 0.000
Dy2 0.071 0.640 0.000
Dy3 0.183 0.382 0.500
# Total magnetic moment, μB per formula unit: 0.00
# Raw total energy, eV/atom: -4.14

---

Entry 4:
# Ca2NdDy | Alexandria | GGA-PBE | relaxed
data_Ca2NdDy
_chemical_formula_sum 'Ca2 Nd1 Dy1'
_cell_length_a 5.090
_cell_length_b 5.090
_cell_length_c 5.611
_cell_angle_alpha 90.00
_cell_angle_beta 90.00
_cell_angle_gamma 90.00
_space_group_name_H-M_alt 'P 4/m m m'
_space_group_IT_number 123
_space_group_name_Hall '-P 4 2'
loop_
_atom_site_label
_atom_site_fract_x
_atom_site_fract_y
_atom_site_fract_z
Ca1 0.000 0.500 0.000
Nd1 0.000 0.000 0.500
Dy1 0.500 0.500 0.500
# Total magnetic moment, μB per formula unit: 0.00
# Energy relative to the lowest polymorph listed for this composition, kcal/mol of atoms: 2.41
# Raw total energy, eV/atom: -3.19

---

Number 3 is which compound?
Ca2Nd5Dy6

---

Copy entry 4 word for word.
# Ca2NdDy | Alexandria | GGA-PBE | relaxed
data_Ca2NdDy
_chemical_formula_sum 'Ca2 Nd1 Dy1'
_cell_length_a 5.090
_cell_length_b 5.090
_cell_length_c 5.611
_cell_angle_alpha 90.00
_cell_angle_beta 90.00
_cell_angle_gamma 90.00
_space_group_name_H-M_alt 'P 4/m m m'
_space_group_IT_number 123
_space_group_name_Hall '-P 4 2'
loop_
_atom_site_label
_atom_site_fract_x
_atom_site_fract_y
_atom_site_fract_z
Ca1 0.000 0.500 0.000
Nd1 0.000 0.000 0.500
Dy1 0.500 0.500 0.500
# Total magnetic moment, μB per formula unit: 0.00
# Energy relative to the lowest polymorph listed for this composition, kcal/mol of atoms: 2.41
# Raw total energy, eV/atom: -3.19

---

What did the second record say?
# Ca2NdDy | Alexandria | GGA-PBE | relaxed
data_Ca2NdDy
_chemical_formula_sum 'Ca6 Nd3 Dy3'
_cell_length_a 3.7278
_cell_length_b 3.7278
_cell_length_c 36.9663
_cell_angle_alpha 90.00
_cell_angle_beta 90.00
_cell_angle_gamma 120.00
_space_group_name_H-M_alt 'R 3 m'
_space_group_IT_number 160
_space_group_name_Hall 'R 3 -2"'
loop_
_atom_site_label
_atom_site_fract_x
_atom_site_fract_y
_atom_site_fract_z
Ca1 0.0000 0.0000 0.0000
Ca2 0.0000 0.0000 0.4221
Nd1 0.0000 0.0000 0.8421
Dy1 0.0000 0.0000 0.5837
# Total magnetic moment, μB per formula unit: 0.00
# Energy relative to the lowest polymorph listed for this composition, kcal/mol of atoms: 0.00
# Raw total energy, eV/atom: -3.30

---

What is the raw total energy in the second record?
-3.30 eV/atom